P | The following is a PBE calculation of a relaxed structure of AcIn2Au6, from the Alexandria database. Values from VASP.

Quantum ESPRESSO input file:
```
&SYSTEM
  ibrav = 0, nat = 9, ntyp = 3
/
ATOMIC_SPECIES
Ac 227.00 Ac.upf
In 114.82 In.upf
Au 196.97 Au.upf
ATOMIC_POSITIONS crystal
Ac 0.0000 0.0000 0.0000
In 0.3333 0.6667 0.5000
In 0.6667 0.3333 0.5000
Au 0.0000 0.5000 0.1942
Au 0.0000 0.5000 0.8058
Au 0.5000 0.0000 0.1942
Au 0.5000 0.0000 0.8058
Au 0.5000 0.5000 0.1942
Au 0.5000 0.5000 0.8058
CELL_PARAMETERS angstrom
5.8179 0.0000 0.0000
-2.9090 5.0385 0.0000
0.0000 0.0000 7.6642
```

SG: P6/mmm, No. 191
DOS(E_F), states/eV per cell: 3.43



Q | The following is a PBE calculation of a relaxed structure of AcIn2Au6, from the Alexandria database. Values from VASP.

Quantum ESPRESSO input file:
```
&SYSTEM
  ibrav = 0, nat = 9, ntyp = 3
/
ATOMIC_SPECIES
Ac 227.00 Ac.upf
In 114.82 In.upf
Au 196.97 Au.upf
ATOMIC_POSITIONS crystal
Ac 0.0000 0.0000 0.0000
In 0.3627 0.8627 0.5000
In 0.6373 0.1373 0.5000
Au 0.0071 0.6818 0.3254
Au 0.3287 0.5000 0.8287
Au 0.3564 0.6818 0.6746
Au 0.6436 0.3182 0.3254
Au 0.6713 0.5000 0.1713
Au 0.9929 0.3182 0.6746
CELL_PARAMETERS angstrom
-1.9341 4.0726 6.7106
1.9341 -4.0726 6.7106
1.9341 4.0726 -6.7106
```

SG: Immm, No. 71
DOS(E_F), states/eV per cell: 3.53



Most stable to least stable, the ends of the list are Q and P.



P | The following is a PBE calculation of a relaxed structure of AcLaInAu, from the Alexandria database. Values from VASP.

Quantum ESPRESSO input file:
```
&SYSTEM
  ibrav = 0, nat = 4, ntyp = 4
/
ATOMIC_SPECIES
Ac 227.00 Ac.upf
La 138.91 La.upf
In 114.82 In.upf
Au 196.97 Au.upf
ATOMIC_POSITIONS crystal
Ac 0.0000 0.0000 0.0000
La 0.0000 0.0000 0.5381
In 0.5000 0.5000 0.2813
Au 0.5000 0.5000 0.7544
CELL_PARAMETERS angstrom
3.8705 0.0000 0.0000
0.0000 3.8705 0.0000
0.0000 0.0000 8.1563
```

SG: P4mm, No. 99
DOS(E_F), states/eV per cell: 4.02



Q | The following is a PBE calculation of a relaxed structure of AcLaInAu, from the Alexandria database. Values from VASP.

Quantum ESPRESSO input file:
```
&SYSTEM
  ibrav = 0, nat = 4, ntyp = 4
/
ATOMIC_SPECIES
Ac 227.00 Ac.upf
La 138.91 La.upf
In 114.82 In.upf
Au 196.97 Au.upf
ATOMIC_POSITIONS crystal
Ac 0.0000 0.0000 0.0000
La 0.5000 0.5000 0.5000
In 0.7500 0.7500 0.7500
Au 0.2500 0.2500 0.2500
CELL_PARAMETERS angstrom
0.0000 3.9537 3.9537
3.9537 0.0000 3.9537
3.9537 3.9537 0.0000
```

SG: F-43m, No. 216
DOS(E_F), states/eV per cell: 4.06



Most stable to least stable, the ends of the list are P and Q.